Ti2BiPt2: PBEsol geometry, meta-GGA SCAN.

abc: 4.2872 4.2872 10.6043
angles: 90.00 90.00 90.00
Positions (direct):
Ti 0.0000 0.5000 0.2500
Ti 0.0000 0.5000 0.7500
Ti 0.5000 0.0000 0.2500
Ti 0.5000 0.0000 0.7500
Bi 0.0000 0.0000 0.0000
Bi 0.5000 0.5000 0.5000
Pt 0.0000 0.0000 0.3759
Pt 0.0000 0.0000 0.6241
Pt 0.5000 0.5000 0.1241
Pt 0.5000 0.5000 0.8759

## Properties
Volume = 19.5 A^3/atom
Calculated formation energy = -345 kJ/mol of formula units
Crystal system = tetragonal